# Bi3AsPd, PBEsol geometry, DFT SCAN
# Spin magnetization   0.0000 μB/atom
data_Bi3AsPd
_space_group_name_H-M_alt 'P 1'
_space_group_IT_number 1
_cell_length_a 5.4018
_cell_length_b 5.4018
_cell_length_c 5.4018
_cell_angle_alpha 90.00
_cell_angle_beta 90.00
_cell_angle_gamma 90.00
loop_
_space_group_symop_operation_xyz
'x,y,z'
loop_
_atom_site_label
_atom_site_type_symbol
_atom_site_fract_x
_atom_site_fract_y
_atom_site_fract_z
As1 As 0.0000 0.0000 0.0000
Bi1 Bi 0.0000 0.0000 0.5000
Bi2 Bi 0.0000 0.5000 0.0000
Pd1 Pd 0.5000 0.5000 0.5000
Bi3 Bi 0.5000 0.0000 0.0000


# BiAs2Pd2, PBEsol geometry, DFT SCAN
# Spin magnetization   0.0000 μB/atom
data_BiAs2Pd2
_space_group_name_H-M_alt 'P 1'
_space_group_IT_number 1
_cell_length_a 4.0110
_cell_length_b 4.0110
_cell_length_c 6.5978
_cell_angle_alpha 107.70
_cell_angle_beta 107.70
_cell_angle_gamma 90.00
loop_
_space_group_symop_operation_xyz
'x,y,z'
loop_
_atom_site_label
_atom_site_type_symbol
_atom_site_fract_x
_atom_site_fract_y
_atom_site_fract_z
As1 As 0.2500 0.7500 0.5000
As2 As 0.7500 0.2500 0.5000
Pd1 Pd 0.6132 0.6132 0.2264
Pd2 Pd 0.3868 0.3868 0.7736
Bi1 Bi 0.0000 0.0000 0.0000


# Re2BiAsPd, PBEsol geometry, DFT SCAN
# Spin magnetization   0.7277 μB/atom
data_Re2BiAsPd
_space_group_name_H-M_alt 'P 1'
_space_group_IT_number 1
_cell_length_a 4.8461
_cell_length_b 5.0123
_cell_length_c 5.0123
_cell_angle_alpha 90.00
_cell_angle_beta 90.00
_cell_angle_gamma 90.00
loop_
_space_group_symop_operation_xyz
'x,y,z'
loop_
_atom_site_label
_atom_site_type_symbol
_atom_site_fract_x
_atom_site_fract_y
_atom_site_fract_z
As1 As 0.5000 0.5000 0.5000
Re1 Re 0.0000 0.0000 0.5000
Bi1 Bi 0.0000 0.0000 0.0000
Re2 Re 0.0000 0.5000 0.0000
Pd1 Pd 0.5000 0.0000 0.0000


# BiAs3Pt, PBEsol geometry, DFT SCAN
# Spin magnetization   0.0001 μB/atom
data_BiAs3Pt
_space_group_name_H-M_alt 'P 1'
_space_group_IT_number 1
_cell_length_a 5.2446
_cell_length_b 5.2446
_cell_length_c 5.2446
_cell_angle_alpha 90.00
_cell_angle_beta 90.00
_cell_angle_gamma 90.00
loop_
_space_group_symop_operation_xyz
'x,y,z'
loop_
_atom_site_label
_atom_site_type_symbol
_atom_site_fract_x
_atom_site_fract_y
_atom_site_fract_z
Pt1 Pt 0.5000 0.5000 0.5000
As1 As 0.0000 0.0000 0.5000
As2 As 0.5000 0.0000 0.0000
Bi1 Bi 0.0000 0.0000 0.0000
As3 As 0.0000 0.5000 0.0000


# RbBiAs3, PBEsol geometry, DFT SCAN
# Spin magnetization   0.3516 μB/atom
data_RbBiAs3
_space_group_name_H-M_alt 'P 1'
_space_group_IT_number 1
_cell_length_a 5.5108
_cell_length_b 5.5108
_cell_length_c 5.5108
_cell_angle_alpha 90.00
_cell_angle_beta 90.00
_cell_angle_gamma 90.00
loop_
_space_group_symop_operation_xyz
'x,y,z'
loop_
_atom_site_label
_atom_site_type_symbol
_atom_site_fract_x
_atom_site_fract_y
_atom_site_fract_z
As1 As 0.0000 0.0000 0.5000
As2 As 0.5000 0.0000 0.0000
As3 As 0.0000 0.5000 0.0000
Bi1 Bi 0.0000 0.0000 0.0000
Rb1 Rb 0.5000 0.5000 0.5000


# RbBi2As, PBEsol geometry, DFT SCAN
# Spin magnetization   0.0000 μB/atom
data_RbBi2As
_space_group_name_H-M_alt 'P 1'
_space_group_IT_number 1
_cell_length_a 6.5873
_cell_length_b 7.1911
_cell_length_c 7.1911
_cell_angle_alpha 77.89
_cell_angle_beta 62.74
_cell_angle_gamma 62.74
loop_
_space_group_symop_operation_xyz
'x,y,z'
loop_
_atom_site_label
_atom_site_type_symbol
_atom_site_fract_x
_atom_site_fract_y
_atom_site_fract_z
Bi1 Bi 0.3750 0.4329 0.0671
Rb1 Rb 0.0000 0.0000 0.0000
Bi2 Bi 0.5579 0.0671 0.5671
As1 As 0.5000 0.0000 0.0000
Rb2 Rb 0.7500 0.5000 0.5000
As2 As 0.2500 0.5000 0.5000
Bi3 Bi 0.8750 0.5671 0.9329
Bi4 Bi 0.1921 0.9329 0.4329


# RbBi2As2, PBEsol geometry, DFT SCAN
# Spin magnetization   0.0001 μB/atom
data_RbBi2As2
_space_group_name_H-M_alt 'P 1'
_space_group_IT_number 1
_cell_length_a 5.4165
_cell_length_b 5.4165
_cell_length_c 6.6824
_cell_angle_alpha 113.91
_cell_angle_beta 113.91
_cell_angle_gamma 90.00
loop_
_space_group_symop_operation_xyz
'x,y,z'
loop_
_atom_site_label
_atom_site_type_symbol
_atom_site_fract_x
_atom_site_fract_y
_atom_site_fract_z
As1 As 0.7500 0.2500 0.5000
Rb1 Rb 0.0000 0.0000 0.0000
Bi1 Bi 0.3463 0.3463 0.6926
Bi2 Bi 0.6537 0.6537 0.3074
As2 As 0.2500 0.7500 0.5000


# RbTaBiAs2, PBEsol geometry, DFT SCAN
# Spin magnetization   0.0000 μB/atom
data_RbTaBiAs2
_space_group_name_H-M_alt 'P 1'
_space_group_IT_number 1
_cell_length_a 5.0552
_cell_length_b 5.0552
_cell_length_c 5.4994
_cell_angle_alpha 90.00
_cell_angle_beta 90.00
_cell_angle_gamma 90.00
loop_
_space_group_symop_operation_xyz
'x,y,z'
loop_
_atom_site_label
_atom_site_type_symbol
_atom_site_fract_x
_atom_site_fract_y
_atom_site_fract_z
Rb1 Rb 0.5000 0.5000 0.5000
As1 As 0.0000 0.5000 0.0000
As2 As 0.5000 0.0000 0.0000
Bi1 Bi 0.0000 0.0000 0.5000
Ta1 Ta 0.0000 0.0000 0.0000


Number 1: energy of formation 917 meV per atom. Number 2: energy of formation -141 meV per atom. Number 3: energy of formation 2598 meV per atom. Number 4: energy of formation 1831 meV per atom. Number 5: energy of formation 561 meV per atom. Number 6: energy of formation -30 meV per atom. Number 7: energy of formation -178 meV per atom. Number 8: energy of formation -37 meV per atom.